(1)
TlNiAgTeSe2: optimized geometry, GGA-PBE.

## Properties
For the total moment, the calculation gives 0.00 μB per formula unit. The uncorrected energy comes out at -3.629 eV per atom.

a b c (Å): 7.7949 7.7949 10.8642
angles (deg): 90.00 90.00 153.74
Fractional positions:
Se (0.1063, 0.8937, 0.0102)
Ni (0.5000, 0.5000, 0.5000)
Ag (0.8683, 0.1317, 0.7500)
Ag (0.1317, 0.8683, 0.2500)
Se (0.1063, 0.8937, 0.4898)
Te (0.4706, 0.5294, 0.2500)
Tl (0.2090, 0.7910, 0.7500)
Ni (0.5000, 0.5000, 0.0000)
Tl (0.7910, 0.2090, 0.2500)
Se (0.8937, 0.1063, 0.5102)
Te (0.5294, 0.4706, 0.7500)
Se (0.8937, 0.1063, 0.9899)


(2)
Cs2LiCdF6: optimized geometry, GGA-PBE.

## Properties
The energy above the most stable polymorph in this dataset is 0 meV per atom.

a b c (Å): 5.9958 5.9984 10.4196
angles (deg): 90.00 125.11 90.00
Fractional positions:
F (0.7442, 0.4995, 0.2440)
Cs (0.7500, 0.5003, 0.7500)
Cd (0.0000, 0.5000, 0.5000)
F (0.2581, 0.7417, 0.0000)
Li (0.5000, 0.0000, 0.5000)
F (0.2586, 0.2580, 0.0002)
Cs (0.2500, 0.0003, 0.7500)
F (0.2558, 0.5005, 0.7560)
F (0.7419, 0.2583, 0.0000)
F (0.7414, 0.7580, 0.4998)
F (0.7414, 0.7420, 0.9998)
Cs (0.2500, 0.4997, 0.2500)
F (0.2558, 0.9995, 0.2560)
Cd (0.0000, 0.0000, 0.0000)
F (0.2581, 0.7583, 0.5000)
F (0.2586, 0.2420, 0.5002)
Cs (0.7500, 0.9997, 0.2500)
Li (0.5000, 0.5000, 0.0000)
F (0.7442, 0.0005, 0.7440)
F (0.7419, 0.2417, 0.5000)


(3)
TbErNO: optimized geometry, GGA-PBE.

## Properties
For the total moment, the calculation gives 0.00 μB per formula unit. The energy above the most stable polymorph in this dataset is 19 meV per atom.

a b c (Å): 6.6044 8.0202 4.8933
angles (deg): 90.00 90.00 90.00
Fractional positions:
Er (0.4157, 0.3747, 0.5504)
O (0.5919, 0.1373, 0.5505)
Tb (0.9311, 0.1232, 0.5508)
O (0.9081, 0.1373, 0.0505)
Tb (0.0689, 0.8768, 0.0508)
Tb (0.5689, 0.1232, 0.0508)
O (0.0919, 0.8627, 0.5505)
Er (0.0843, 0.3747, 0.0504)
O (0.4081, 0.8627, 0.0505)
Er (0.5843, 0.6253, 0.0504)
N (0.5730, 0.6218, 0.5506)
Tb (0.4311, 0.8768, 0.5508)
N (0.4270, 0.3782, 0.0506)
Er (0.9157, 0.6253, 0.5504)
N (0.0730, 0.3782, 0.5506)
N (0.9270, 0.6218, 0.0506)


(4)
Ba2HoTaO6: optimized geometry, GGA-PBE.

## Properties
For the total moment, the calculation gives 0.00 μB per formula unit. The uncorrected energy comes out at -8.171 eV per atom.

a b c (Å): 5.9701 5.9701 5.9701
angles (deg): 60.00 60.00 60.00
Fractional positions:
Ba (0.2500, 0.2500, 0.2500)
O (0.2630, 0.2630, 0.7370)
O (0.7370, 0.2630, 0.2630)
O (0.2630, 0.7370, 0.7370)
Ta (0.5000, 0.5000, 0.5000)
Ba (0.7500, 0.7500, 0.7500)
Ho (0.0000, 0.0000, 0.0000)
O (0.7370, 0.7370, 0.2630)
O (0.7370, 0.2630, 0.7370)
O (0.2630, 0.7370, 0.2630)


(5)
DyYMg6: optimized geometry, GGA-PBE.

## Properties
For the total moment, the calculation gives 0.02 μB per formula unit. The energy above the most stable polymorph in this dataset is 0 meV per atom.

a b c (Å): 5.1716 7.2896 5.1705
angles (deg): 90.00 90.00 90.00
Fractional positions:
Mg (0.5000, 0.0000, 0.2537)
Mg (0.0000, 0.2494, 0.2451)
Y (0.5000, 0.5000, 0.2544)
Mg (0.0000, 0.5000, 0.7463)
Mg (0.0000, 0.7506, 0.2451)
Dy (0.0000, 0.0000, 0.7456)
Mg (0.5000, 0.7505, 0.7548)
Mg (0.5000, 0.2495, 0.7548)


(6)
SrTa2Hg: optimized geometry, GGA-PBE.

## Properties
For the total moment, the calculation gives 0.00 μB per formula unit. The uncorrected energy comes out at -5.668 eV per atom.

a b c (Å): 4.9957 4.9957 4.9957
angles (deg): 60.00 60.00 60.00
Fractional positions:
Hg (0.2500, 0.2500, 0.2500)
Ta (0.7500, 0.7500, 0.7500)
Ta (0.0000, 0.0000, 0.0000)
Sr (0.5000, 0.5000, 0.5000)


| no. | calculated volume (Å³/cell) |
| --- | --- |
| 1 | 292 |
| 2 | 307 |
| 3 | 259 |
| 4 | 150 |
| 5 | 195 |
| 6 | 88 |